1.
DFT (PBE) results for CdGa after structural relaxation.

Summary:
Polymorph energy (0 for the lowest one) = 0.0417 eV per atom
Calculated formation energy = 86 meV/atom

a = 3.8805 Å, b = 12.3475 Å, c = 5.7910 Å
α = 90.00°, β = 90.00°, γ = 90.00°
Space group Pmmn (No. 59, origin choice 2)
Asymmetric unit:
Cd: 0.2500 0.0079 0.1986
Cd: 0.2500 0.2500 0.1815
Ga: 0.2500 0.1352 0.6130
Ga: 0.2500 0.7500 0.1673

=====

2.
DFT (PBE) results for Cd3Ga2 after structural relaxation.

Summary:
Polymorph energy (0 for the lowest one) = 0.0000 eV per atom
Calculated formation energy = 26 meV/atom

a = 3.1906 Å, b = 3.1906 Å, c = 36.0152 Å
α = 90.00°, β = 90.00°, γ = 120.00°
Space group R-3m (No. 166, hexagonal axes)
Asymmetric unit:
Cd: 0.0000 0.0000 0.0000
Cd: 0.0000 0.0000 0.2015
Ga: 0.0000 0.0000 0.3991

=====

3.
DFT (PBE) results for CdGa5 after structural relaxation.

Summary:
Polymorph energy (0 for the lowest one) = 0.0039 eV per atom
Calculated formation energy = 36 meV/atom

a = 11.7769 Å, b = 3.1819 Å, c = 6.6892 Å
α = 90.00°, β = 108.64°, γ = 90.00°
Space group Cm (No. 8)
Asymmetric unit:
Cd: 0.0000 0.0000 0.0000
Ga: 0.1141 0.5000 0.7100
Ga: 0.1752 0.5000 0.3354
Ga: 0.2752 0.0000 0.0560
Ga: 0.3259 0.0000 0.6622
Ga: 0.4389 0.5000 0.4033

=====

4.
DFT (PBE) results for Cd5Ga2 after structural relaxation.

Summary:
Polymorph energy (0 for the lowest one) = 0.0327 eV per atom
Calculated formation energy = 76 meV/atom

a = 4.7782 Å, b = 4.7782 Å, c = 23.7336 Å
α = 90.00°, β = 90.00°, γ = 120.00°
Space group R-3m (No. 166, hexagonal axes)
Asymmetric unit:
Cd: 0.0000 0.0000 0.0000
Cd: 0.0000 0.0000 0.2854
Cd: 0.0000 0.0000 0.4308
Ga: 0.0000 0.0000 0.1495

=====

5.
DFT (PBE) results for Cd3Ga5 after structural relaxation.

Summary:
Calculated formation energy = 25 meV/atom

a = 3.0865 Å, b = 3.0865 Å, c = 17.0930 Å
α = 90.00°, β = 90.00°, γ = 90.00°
Space group P4/mmm (No. 123)
Asymmetric unit:
Cd: 0.0000 0.0000 0.0000
Cd: 0.5000 0.5000 0.1363
Ga: 0.0000 0.0000 0.2659
Ga: 0.0000 0.0000 0.5000
Ga: 0.5000 0.5000 0.3844

=====

6.
DFT (PBE) results for CdGa after structural relaxation.

Summary:
Polymorph energy (0 for the lowest one) = 0.0400 eV per atom
Calculated formation energy = 84 meV/atom

a = 7.9914 Å, b = 7.9914 Å, c = 4.8315 Å
α = 90.00°, β = 90.00°, γ = 120.00°
Space group P6_3/m (No. 176)
Asymmetric unit:
Cd: 0.0901 0.8187 0.2500
Ga: 0.1022 0.5971 0.7500